Entry from the Open Quantum Materials Database: a relaxed LiLa2NiBi4 crystal (PBE).

a = 4.6201 Å, b = 4.6201 Å, c = 10.0718 Å
α = 90.00°, β = 90.00°, γ = 90.00°
Closest atoms and distances in Å follow each position.
Space group P-4m2 (No. 115)
Asymmetric unit:
Li: 0.0000 0.0000 0.0000 (multiplicity 1)  4 Bi 2.73
La: 0.0000 0.5000 0.7640 (multiplicity 2)  2 Li 3.31, 2 Ni 3.31, 8 Bi 3.39-3.52
Ni: 0.5000 0.5000 0.0000 (multiplicity 1)  4 Bi 2.73
Bi: 0.0000 0.0000 0.5000 (multiplicity 1)  4 Bi 3.27, 4 La 3.52
Bi: 0.0000 0.5000 0.1444 (multiplicity 2)  2 Ni 2.73, 2 Li 2.73
Bi: 0.5000 0.5000 0.5000 (multiplicity 1)  4 Bi 3.27, 4 La 3.52

Calculated values
- Total magnetization: 0.0002 μB per atom
- V: 215.0 Å³ per cell
- Energy: -38.79 eV per cell



Entry from the Open Quantum Materials Database: a relaxed LaLu2Bi3 crystal (PBE).

a = 4.5086 Å, b = 4.5086 Å, c = 11.0082 Å
α = 90.00°, β = 90.00°, γ = 120.00°
Closest atoms and distances in Å follow each position.
Space group P-3m1 (No. 164)
Asymmetric unit:
La: 0.0000 0.0000 0.0000 (multiplicity 1)  6 Bi 3.28
Lu: 0.3333 0.6667 0.3383 (multiplicity 2)  6 Bi 3.13-3.15
Bi: 0.0000 0.0000 0.5000 (multiplicity 1)  6 Lu 3.15
Bi: 0.3333 0.6667 0.8194 (multiplicity 2)  3 Lu 3.13, 3 La 3.28

Calculated values
- Total magnetization: 0.0012 μB per atom
- V: 193.8 Å³ per cell
- Energy: -31.19 eV per cell